DFT (GGA+U) results for crystalline VP3O at its relaxed geometry.

Output
Magnetization: 2.19 μB/f.u.
E: -26.16 eV/cell

Unit cell a=4.1281 b=4.1281 c=4.1281 alpha=90.00 beta=90.00 gamma=90.00
Last column: nearest neighbours and their distance in Å.
Positions (direct):
V 0.0000 0.0000 0.0000  12 P 2.92
P 0.0000 0.5000 0.5000  2 O 2.06
P 0.5000 0.0000 0.5000  2 O 2.06
P 0.5000 0.5000 0.0000  2 O 2.06
O 0.5000 0.5000 0.5000  6 P 2.06